Entry 1:
! VPt2Br PBE optimized geometry; values from VASP
! - crystal system = cubic
! - calculated volume (Å³/atom) = 17.05
! - total magnetic moment (μB per atom) = 0.522
! - relative energy among the computed polymorphs (eV/atom) = 0.128
! - electronic total energy (eV per atom) = -5.248
! - ΔE_f (raw) (kJ/mol of atoms) = 45.4
&SYSTEM
  ibrav = 0, nat = 4, ntyp = 3
/
ATOMIC_SPECIES
V 50.94 V.upf
Pt 195.08 Pt.upf
Br 79.90 Br.upf
CELL_PARAMETERS angstrom
0.000 3.243 3.243
3.243 0.000 3.243
3.243 3.243 0.000
ATOMIC_POSITIONS angstrom
V 0.000 0.000 0.000
Pt 1.622 1.622 1.622
Pt 4.865 4.865 4.865
Br 3.243 3.243 3.243

***

Entry 2:
! LaCeCo4 PBE optimized geometry; values from VASP
! - crystal system = cubic
! - calculated volume (Å³/atom) = 15.28
! - total magnetic moment (μB per atom) = 0.001
! - electronic total energy (eV per atom) = -6.683
! - DFT formation energy (eV/atom) = -0.135
&SYSTEM
  ibrav = 0, nat = 6, ntyp = 3
/
ATOMIC_SPECIES
La 138.91 La.upf
Ce 140.12 Ce.upf
Co 58.93 Co.upf
CELL_PARAMETERS angstrom
0.000 3.579 3.579
3.579 0.000 3.579
3.579 3.579 0.000
ATOMIC_POSITIONS angstrom
La 0.000 0.000 0.000
Ce 5.368 5.368 5.368
Co 2.687 2.687 2.687
Co 4.470 4.470 2.687
Co 4.470 2.687 4.470
Co 2.687 4.470 4.470

***

> Which of these has the highest calculated volume?

VPt2Br

***

> Which value of calculated volume does entry 1 give?

17.05 Å³/atom

***

> Among the records above, which one has the lowest electronic total energy?

LaCeCo4